1.
{"formula": "Er6ThSc", "functional": "PBE", "state": "relaxed", "formation_energy_ev_per_atom": 0.14, "e_above_lowest_polymorph_mev_per_atom": 0, "cell": [[5.8995, 0.6238, -2.0062], [-1.6158, 5.7081, -2.0062], [-3.0789, -4.5511, 10.0062]], "species": ["Sc", "Er", "Er", "Er", "Er", "Er", "Er", "Th"], "frac_coords": [[0.0000, 0.0000, 0.0000], [0.3093, 0.9450, 0.7922], [0.3561, 0.3561, 0.7006], [0.0550, 0.6907, 0.2078], [0.9450, 0.3093, 0.7922], [0.6907, 0.0550, 0.2078], [0.6439, 0.6439, 0.2994], [0.5000, 0.5000, 0.5000]]}

2.
{"formula": "CeSmEr2Hg4", "functional": "PBE", "state": "relaxed", "formation_energy_ev_per_atom": -0.42, "cell": [[5.3135, 0.0000, 0.0000], [2.6568, 4.6017, 0.0000], [2.6568, 1.5339, 8.6854]], "species": ["Hg", "Hg", "Hg", "Sm", "Hg", "Er", "Ce", "Er"], "frac_coords": [[0.3742, 0.3742, 0.8775], [0.6258, 0.6258, 0.1225], [0.8760, 0.8760, 0.3720], [0.0000, 0.0000, 0.0000], [0.1240, 0.1240, 0.6280], [0.7506, 0.7506, 0.7482], [0.5000, 0.5000, 0.5000], [0.2494, 0.2494, 0.2518]]}

3.
{"formula": "BaAc3Ag", "functional": "PBE", "state": "relaxed", "formation_energy_ev_per_atom": 0.11, "cell": [[6.2453, 0.0000, 0.0000], [0.0000, 6.2453, 0.0000], [0.0000, 0.0000, 6.2453]], "species": ["Ac", "Ac", "Ac", "Ag", "Ba"], "frac_coords": [[0.5000, 0.0000, 0.0000], [0.0000, 0.0000, 0.5000], [0.0000, 0.5000, 0.0000], [0.0000, 0.0000, 0.0000], [0.5000, 0.5000, 0.5000]]}

4.
{"formula": "SmTm2Pa", "functional": "PBE", "state": "relaxed", "formation_energy_ev_per_atom": 0.12, "e_above_lowest_polymorph_mev_per_atom": 14, "cell": [[-2.9007, 0.9980, -1.4950], [-1.7409, -2.2663, 1.8650], [-1.3212, 6.9330, 7.1914]], "species": ["Sm", "Pa", "Tm", "Tm"], "frac_coords": [[0.5000, 0.5000, 0.5000], [0.5000, 0.5000, 0.0000], [0.0000, 0.0000, 0.2316], [0.0000, 0.0000, 0.7684]]}

5.
{"formula": "IrCS2N", "functional": "PBE", "state": "relaxed", "e_above_lowest_polymorph_mev_per_atom": 622, "cell": [[-1.2951, 1.5799, 4.3545], [0.5541, -4.4362, 1.7743], [3.4750, 0.7400, 0.7650]], "species": ["S", "C", "S", "N", "Ir"], "frac_coords": [[0.5000, 0.0000, 0.0000], [0.5000, 0.5000, 0.5000], [0.0000, 0.5000, 0.0000], [0.0000, 0.0000, 0.5000], [0.0000, 0.0000, 0.0000]]}

Number 1: M_tot 0.0 μB per formula unit. Number 2: M_tot 1.8 μB per formula unit. Number 3: M_tot 0.0 μB per formula unit. Number 4: M_tot 0.2 μB per formula unit. Number 5: M_tot 0.0 μB per formula unit.